# Ba2InTe, optimized geometry, DFT PBE
data_Ba2InTe
_chemical_formula_sum 'Ba4 In2 Te2'
_symmetry_space_group_name_H-M 'I 4/m m m'
_symmetry_Int_Tables_number 139
_symmetry_space_group_name_Hall '-I 4 2'
_cell_length_a 5.6391
_cell_length_b 5.6391
_cell_length_c 9.7367
_cell_angle_alpha 90.00
_cell_angle_beta 90.00
_cell_angle_gamma 90.00
loop_
_atom_site_label
_atom_site_fract_x
_atom_site_fract_y
_atom_site_fract_z
_atom_site_occupancy
Ba1 0.0000 0.5000 0.2500 1
In1 0.0000 0.0000 0.0000 1
Te1 0.0000 0.0000 0.5000 1
# **Magnetization**: 0.00 μB/f.u.
# **Fermi-level density of states**: 0.663 states/eV per atom
# **Raw formation energy**: -0.786 eV/atom
# **E**: -3.2170 eV per atom